# Ac7Ag2Ir2, optimized geometry, DFT PBE-GGA
data_Ac7Ag2Ir2
_chemical_formula_sum 'Ac14 Ag4 Ir4'
_symmetry_space_group_name_H-M 'I m m 2'
_symmetry_Int_Tables_number 44
_cell_length_a 4.169
_cell_length_b 17.025
_cell_length_c 10.606
_cell_angle_alpha 90.00
_cell_angle_beta 90.00
_cell_angle_gamma 90.00
loop_
_symmetry_equiv_pos_as_xyz
'x,y,z'
'-x,-y,z'
'-x,y,z'
'x,-y,z'
'x+1/2,y+1/2,z+1/2'
'-x+1/2,-y+1/2,z+1/2'
'-x+1/2,y+1/2,z+1/2'
'x+1/2,-y+1/2,z+1/2'
loop_
_atom_site_label
_atom_site_type_symbol
_atom_site_fract_x
_atom_site_fract_y
_atom_site_fract_z
Ac1 Ac 0.000 0.000 0.000
Ac2 Ac 0.000 0.125 0.599
Ac3 Ac 0.000 0.310 0.399
Ac4 Ac 0.000 0.361 0.742
Ag1 Ag 0.000 0.000 0.342
Ag2 Ag 0.000 0.500 0.254
Ir1 Ir 0.000 0.244 0.109
# magnetic moment = 0.0 μB per cell
# DOS at the Fermi energy = 22.24 states/eV per cell
# excess energy over the best structure of this formula in the dataset = 0 meV per atom

# Hf2CrB, optimized geometry, DFT PBE-GGA
data_Hf2CrB
_chemical_formula_sum 'Hf8 Cr4 B4'
_symmetry_space_group_name_H-M 'F m -3 m'
_symmetry_Int_Tables_number 225
_symmetry_space_group_name_Hall '-F 4 2 3'
_cell_length_a 6.219
_cell_length_b 6.219
_cell_length_c 6.219
_cell_angle_alpha 90.00
_cell_angle_beta 90.00
_cell_angle_gamma 90.00
loop_
_atom_site_label
_atom_site_type_symbol
_atom_site_fract_x
_atom_site_fract_y
_atom_site_fract_z
Hf1 Hf 0.250 0.250 0.250
Cr1 Cr 0.000 0.000 0.000
B1 B 0.000 0.000 0.500
# magnetic moment = 0.0 μB per cell
# DOS at the Fermi energy = 9.08 states/eV per cell
# excess energy over the best structure of this formula in the dataset = 0 meV per atom

# PaGe2Au, optimized geometry, DFT PBE-GGA
data_PaGe2Au
_chemical_formula_sum 'Pa1 Ge2 Au1'
_symmetry_space_group_name_H-M 'P 4/m m m'
_symmetry_Int_Tables_number 123
_symmetry_space_group_name_Hall '-P 4 2'
_cell_length_a 3.439
_cell_length_b 3.439
_cell_length_c 6.824
_cell_angle_alpha 90.00
_cell_angle_beta 90.00
_cell_angle_gamma 90.00
loop_
_atom_site_label
_atom_site_type_symbol
_atom_site_fract_x
_atom_site_fract_y
_atom_site_fract_z
Pa1 Pa 0.000 0.000 0.000
Ge1 Ge 0.500 0.500 0.283
Au1 Au 0.000 0.000 0.500
# magnetic moment = 0.0 μB per cell
# DOS at the Fermi energy = 5.76 states/eV per cell
# excess energy over the best structure of this formula in the dataset = 433 meV per atom

Which formula does entry 3 have? PaGe2Au